Density functional theory data (PBE-GGA) for an optimized crystal structure of GaAs3O.

a b c (Å): 4.895 4.895 4.895
angles (deg): 90.00 90.00 90.00
Last column: magnetic moment on the atom in μB.
Positions (direct):
O1 0.500 0.500 0.500  1.13
As1 0.000 0.000 0.500  0.09
As2 0.000 0.500 0.000  0.09
As3 0.500 0.000 0.000  0.11
Ga1 0.000 0.000 0.000  -0.01

DFT total energy (eV for the cell shown): -16.24